Entry i
AcNiB4 | GGA-PBE | relaxed

Summary:
Symmetry   No. 71
Volume   74 Å³ per cell

Cell: 5.3645 5.3645 5.3645 Å, 145.60 121.12 70.01°
Positions (direct):
Ac (0.0000, 0.0000, 0.0000)
Ni (0.5000, 0.5000, 0.0000)
B (0.0764, 0.7475, 0.3290)
B (0.4185, 0.7475, 0.6710)
B (0.5815, 0.2525, 0.3290)
B (0.9236, 0.2525, 0.6710)

=====

Entry ii
AcNiB4 | GGA-PBE | relaxed

Summary:
Symmetry   No. 191
Volume   65 Å³ per cell

Cell: 3.2564 3.2564 7.0755 Å, 90.00 90.00 120.00°
Positions (direct):
Ac (0.0000, 0.0000, 0.0000)
Ni (0.0000, 0.0000, 0.5000)
B (0.3333, 0.6667, 0.3191)
B (0.3333, 0.6667, 0.6809)
B (0.6667, 0.3333, 0.3191)
B (0.6667, 0.3333, 0.6809)

=====

Which of them is the most stable, and which is the least stable? entry ii and entry i, in that order.

=====

Entry i
AcNpB | GGA-PBE | relaxed

Summary:
Symmetry   No. 216
Volume   77 Å³ per cell

Cell: 4.7650 4.7650 4.7650 Å, 60.00 60.00 60.00°
Positions (direct):
Ac (0.0000, 0.0000, 0.0000)
Np (0.2500, 0.2500, 0.2500)
B (0.7500, 0.7500, 0.7500)

=====

Entry ii
AcNpB | GGA-PBE | relaxed

Summary:
Symmetry   No. 216
Volume   72 Å³ per cell

Cell: 4.6706 4.6706 4.6706 Å, 60.00 60.00 60.00°
Positions (direct):
Ac (0.0000, 0.0000, 0.0000)
Np (0.5000, 0.5000, 0.5000)
B (0.2500, 0.2500, 0.2500)

=====

Which of them is the most stable, and which is the least stable? entry ii and entry i, in that order.

=====

Entry i
AcBPd | GGA-PBE | relaxed

Summary:
Symmetry   No. 216
Volume   78 Å³ per cell

Cell: 4.7952 4.7952 4.7952 Å, 60.00 60.00 60.00°
Positions (direct):
Ac (0.0000, 0.0000, 0.0000)
B (0.7500, 0.7500, 0.7500)
Pd (0.2500, 0.2500, 0.2500)

=====

Entry ii
AcBPd | GGA-PBE | relaxed

Summary:
Symmetry   No. 216
Volume   66 Å³ per cell

Cell: 4.5259 4.5259 4.5259 Å, 60.00 60.00 60.00°
Positions (direct):
Ac (0.0000, 0.0000, 0.0000)
B (0.2500, 0.2500, 0.2500)
Pd (0.5000, 0.5000, 0.5000)

=====

Entry iii
AcBPd | GGA-PBE | relaxed

Summary:
Symmetry   No. 216
Volume   71 Å³ per cell

Cell: 4.6512 4.6512 4.6512 Å, 60.00 60.00 60.00°
Positions (direct):
Ac (0.0000, 0.0000, 0.0000)
B (0.5000, 0.5000, 0.5000)
Pd (0.2500, 0.2500, 0.2500)

=====

Which of them is the most stable, and which is the least stable? entry ii and entry i, in that order.

=====

Entry i
AcPmB4 | GGA-PBE | relaxed

Summary:
Symmetry   No. 191
Volume   84 Å³ per cell

Cell: 3.3677 3.3677 8.5537 Å, 90.00 90.00 120.00°
Positions (direct):
Ac (0.0000, 0.0000, 0.0000)
Pm (0.0000, 0.0000, 0.5000)
B (0.3333, 0.6667, 0.2663)
B (0.3333, 0.6667, 0.7337)
B (0.6667, 0.3333, 0.2663)
B (0.6667, 0.3333, 0.7337)

=====

Entry ii
AcPmB4 | GGA-PBE | relaxed

Summary:
Symmetry   No. 71
Volume   84 Å³ per cell

Cell: 5.4431 5.4431 5.4431 Å, 143.63 115.94 75.96°
Positions (direct):
Ac (0.0000, 0.0000, 0.0000)
Pm (0.5000, 0.5000, 0.0000)
B (0.0875, 0.7512, 0.3363)
B (0.4149, 0.7512, 0.6637)
B (0.5851, 0.2488, 0.3363)
B (0.9125, 0.2488, 0.6637)

=====

Which of them is the most stable, and which is the least stable? entry i and entry ii, in that order.

=====

Entry i
AcBPt | GGA-PBE | relaxed

Summary:
Symmetry   No. 216
Volume   73 Å³ per cell

Cell: 4.6909 4.6909 4.6909 Å, 60.00 60.00 60.00°
Positions (direct):
Ac (0.0000, 0.0000, 0.0000)
B (0.5000, 0.5000, 0.5000)
Pt (0.2500, 0.2500, 0.2500)

=====

Entry ii
AcBPt | GGA-PBE | relaxed

Summary:
Symmetry   No. 216
Volume   79 Å³ per cell

Cell: 4.8175 4.8175 4.8175 Å, 60.00 60.00 60.00°
Positions (direct):
Ac (0.0000, 0.0000, 0.0000)
B (0.7500, 0.7500, 0.7500)
Pt (0.2500, 0.2500, 0.2500)

=====

Which of them is the most stable, and which is the least stable? entry i and entry ii, in that order.

=====

Entry i
AcTaB4 | GGA-PBE | relaxed

Summary:
Symmetry   No. 191
Volume   70 Å³ per cell

Cell: 3.2008 3.2008 7.9433 Å, 90.00 90.00 120.00°
Positions (direct):
Ac (0.0000, 0.0000, 0.0000)
Ta (0.0000, 0.0000, 0.5000)
B (0.3333, 0.6667, 0.2944)
B (0.3333, 0.6667, 0.7056)
B (0.6667, 0.3333, 0.2944)
B (0.6667, 0.3333, 0.7056)

=====

Entry ii
AcTaB4 | GGA-PBE | relaxed

Summary:
Symmetry   No. 71
Volume   74 Å³ per cell

Cell: 5.1645 5.1645 5.1645 Å, 143.43 112.83 78.98°
Positions (direct):
Ac (0.0000, 0.0000, 0.0000)
Ta (0.5000, 0.5000, 0.0000)
B (0.0984, 0.7586, 0.3398)
B (0.4188, 0.7586, 0.6602)
B (0.5812, 0.2414, 0.3398)
B (0.9016, 0.2414, 0.6602)

=====

Which of them is the most stable, and which is the least stable? entry i and entry ii, in that order.

=====

Entry i
AcThB4 | GGA-PBE | relaxed

Summary:
Symmetry   No. 191
Volume   86 Å³ per cell

Cell: 3.3868 3.3868 8.6421 Å, 90.00 90.00 120.00°
Positions (direct):
Ac (0.0000, 0.0000, 0.0000)
Th (0.0000, 0.0000, 0.5000)
B (0.3333, 0.6667, 0.2634)
B (0.3333, 0.6667, 0.7366)
B (0.6667, 0.3333, 0.2634)
B (0.6667, 0.3333, 0.7366)

=====

Entry ii
AcThB4 | GGA-PBE | relaxed

Summary:
Symmetry   No. 71
Volume   85 Å³ per cell

Cell: 5.4909 5.4909 5.4909 Å, 144.28 115.47 76.00°
Positions (direct):
Ac (0.0000, 0.0000, 0.0000)
Th (0.5000, 0.5000, 0.0000)
B (0.0852, 0.7521, 0.3331)
B (0.4190, 0.7521, 0.6669)
B (0.5810, 0.2479, 0.3331)
B (0.9148, 0.2479, 0.6669)

=====

Which of them is the most stable, and which is the least stable? entry i and entry ii, in that order.

=====

Entry i
AcTmB4 | GGA-PBE | relaxed

Summary:
Symmetry   No. 191
Volume   79 Å³ per cell

Cell: 3.3153 3.3153 8.3416 Å, 90.00 90.00 120.00°
Positions (direct):
Ac (0.0000, 0.0000, 0.0000)
Tm (0.0000, 0.0000, 0.5000)
B (0.3333, 0.6667, 0.2792)
B (0.3333, 0.6667, 0.7208)
B (0.6667, 0.3333, 0.2792)
B (0.6667, 0.3333, 0.7208)

=====

Entry ii
AcTmB4 | GGA-PBE | relaxed

Summary:
Symmetry   No. 71
Volume   80 Å³ per cell

Cell: 5.3567 5.3567 5.3567 Å, 143.71 115.24 76.56°
Positions (direct):
Ac (0.0000, 0.0000, 0.0000)
Tm (0.5000, 0.5000, 0.0000)
B (0.0900, 0.7534, 0.3366)
B (0.4168, 0.7534, 0.6634)
B (0.5832, 0.2466, 0.3366)
B (0.9100, 0.2466, 0.6634)

=====

Which of them is the most stable, and which is the least stable? entry i and entry ii, in that order.

=====

Entry i
AcBW | GGA-PBE | relaxed

Summary:
Symmetry   No. 216
Volume   79 Å³ per cell

Cell: 4.8233 4.8233 4.8233 Å, 60.00 60.00 60.00°
Positions (direct):
Ac (0.0000, 0.0000, 0.0000)
B (0.7500, 0.7500, 0.7500)
W (0.2500, 0.2500, 0.2500)

=====

Entry ii
AcBW | GGA-PBE | relaxed

Summary:
Symmetry   No. 216
Volume   61 Å³ per cell

Cell: 4.4170 4.4170 4.4170 Å, 60.00 60.00 60.00°
Positions (direct):
Ac (0.0000, 0.0000, 0.0000)
B (0.2500, 0.2500, 0.2500)
W (0.5000, 0.5000, 0.5000)

=====

Which of them is the most stable, and which is the least stable? entry ii and entry i, in that order.

=====

Entry i
AcZnB4 | GGA-PBE | relaxed

Summary:
Symmetry   No. 191
Volume   71 Å³ per cell

Cell: 3.2507 3.2507 7.7246 Å, 90.00 90.00 120.00°
Positions (direct):
Ac (0.0000, 0.0000, 0.0000)
Zn (0.0000, 0.0000, 0.5000)
B (0.3333, 0.6667, 0.2937)
B (0.3333, 0.6667, 0.7063)
B (0.6667, 0.3333, 0.2937)
B (0.6667, 0.3333, 0.7063)

=====

Entry ii
AcZnB4 | GGA-PBE | relaxed

Summary:
Symmetry   No. 71
Volume   79 Å³ per cell

Cell: 5.5013 5.5013 5.5013 Å, 146.02 120.82 70.02°
Positions (direct):
Ac (0.0000, 0.0000, 0.0000)
Zn (0.5000, 0.5000, 0.0000)
B (0.0701, 0.7452, 0.3249)
B (0.4202, 0.7452, 0.6751)
B (0.5798, 0.2548, 0.3249)
B (0.9299, 0.2548, 0.6751)

=====

Which of them is the most stable, and which is the least stable? entry ii and entry i, in that order.

=====

Entry i
AcZrB4 | GGA-PBE | relaxed

Summary:
Symmetry   No. 71
Volume   77 Å³ per cell

Cell: 5.2660 5.2660 5.2660 Å, 143.59 114.07 77.72°
Positions (direct):
Ac (0.0000, 0.0000, 0.0000)
Zr (0.5000, 0.5000, 0.0000)
B (0.0916, 0.7549, 0.3367)
B (0.4182, 0.7549, 0.6633)
B (0.5818, 0.2451, 0.3367)
B (0.9084, 0.2451, 0.6633)

=====

Entry ii
AcZrB4 | GGA-PBE | relaxed

Summary:
Symmetry   No. 191
Volume   75 Å³ per cell

Cell: 3.2678 3.2678 8.1397 Å, 90.00 90.00 120.00°
Positions (direct):
Ac (0.0000, 0.0000, 0.0000)
Zr (0.0000, 0.0000, 0.5000)
B (0.3333, 0.6667, 0.2884)
B (0.3333, 0.6667, 0.7116)
B (0.6667, 0.3333, 0.2884)
B (0.6667, 0.3333, 0.7116)

=====

Which of them is the most stable, and which is the least stable? entry ii and entry i, in that order.

=====

Entry i
AcBeCd | GGA-PBE | relaxed

Summary:
Symmetry   No. 216
Volume   81 Å³ per cell

Cell: 4.8544 4.8544 4.8544 Å, 60.00 60.00 60.00°
Positions (direct):
Ac (0.0000, 0.0000, 0.0000)
Be (0.2500, 0.2500, 0.2500)
Cd (0.5000, 0.5000, 0.5000)

=====

Entry ii
AcBeCd | GGA-PBE | relaxed

Summary:
Symmetry   No. 216
Volume   97 Å³ per cell

Cell: 5.1616 5.1616 5.1616 Å, 60.00 60.00 60.00°
Positions (direct):
Ac (0.0000, 0.0000, 0.0000)
Be (0.7500, 0.7500, 0.7500)
Cd (0.2500, 0.2500, 0.2500)

=====

Which of them is the most stable, and which is the least stable? entry i and entry ii, in that order.